(1)
Li2MnNbS4, optimized geometry, DFT PBE; magnetization = 4.20 μB per cell; space-group type = P2/m (10); total DFT energy (no corrections) = -5.94 eV per atom; E_form (uncorrected) = -0.9887 eV/atom
1.0
6.2751 0.0000 0.0000
0.0000 3.4978 0.0000
-2.0696 0.0000 6.1088
Li Mn Nb S
2 1 1 4
Cartesian
0.0000 0.0000 0.0000
3.1375 1.7489 0.0000
-1.0348 1.7489 3.0544
2.1027 0.0000 3.0544
0.0308 0.0000 4.4728
1.0783 1.7489 1.5602
3.1272 1.7489 4.5485
4.1747 0.0000 1.6359


(2)
LiMn2NbSb, optimized geometry, DFT PBE; magnetization = 7.28 μB per cell; space-group type = P4/mmm (123); total DFT energy (no corrections) = -6.11 eV per atom; E_form (uncorrected) = 0.7831 eV/atom
1.0
4.9456 0.0000 0.0000
0.0000 4.9456 0.0000
0.0000 0.0000 5.3162
Li Mn Nb Sb
1 2 1 1
Cartesian
0.0000 0.0000 0.0000
0.0000 2.4728 2.6581
2.4728 0.0000 2.6581
2.4728 2.4728 2.6581
2.4728 2.4728 0.0000


(3)
LiMnNbSi, optimized geometry, DFT PBE; magnetization = 3.95 μB per cell; space-group type = F-43m (216); total DFT energy (no corrections) = -6.92 eV per atom; E_form (uncorrected) = -0.2720 eV/atom
1.0
5.9173 0.0000 0.0000
0.0000 5.9173 0.0000
0.0000 0.0000 5.9173
Li Mn Nb Si
4 4 4 4
Cartesian
0.0000 0.0000 0.0000
0.0000 2.9586 2.9586
2.9586 0.0000 2.9586
2.9586 2.9586 0.0000
0.0000 0.0000 2.9586
0.0000 2.9586 0.0000
2.9586 0.0000 0.0000
2.9586 2.9586 2.9586
1.4793 1.4793 1.4793
1.4793 4.4380 4.4380
4.4380 1.4793 4.4380
4.4380 4.4380 1.4793
1.4793 1.4793 4.4380
1.4793 4.4380 1.4793
4.4380 1.4793 1.4793
4.4380 4.4380 4.4380


(4)
LiMn2NbW, optimized geometry, DFT PBE; energy of formation from the pure elements = 1.5355 eV/atom; magnetization = 5.59 μB per cell; space-group type = P4/mmm (123); total DFT energy (no corrections) = -7.12 eV per atom
1.0
4.8460 0.0000 0.0000
0.0000 4.8460 0.0000
0.0000 0.0000 4.7968
Li Mn Nb W
1 2 1 1
Cartesian
0.0000 0.0000 0.0000
0.0000 2.4230 2.3984
2.4230 0.0000 2.3984
2.4230 2.4230 2.3984
2.4230 2.4230 0.0000


(5)
LiZrMnNb, optimized geometry, DFT PBE; energy of formation from the pure elements = 0.1053 eV/atom; magnetization = 0.00 μB per cell; space-group type = F-43m (216); total DFT energy (no corrections) = -7.32 eV per atom
1.0
6.3176 0.0000 0.0000
0.0000 6.3176 0.0000
0.0000 0.0000 6.3176
Li Zr Mn Nb
4 4 4 4
Cartesian
0.0000 0.0000 0.0000
0.0000 3.1588 3.1588
3.1588 0.0000 3.1588
3.1588 3.1588 0.0000
1.5794 1.5794 4.7382
1.5794 4.7382 1.5794
4.7382 1.5794 1.5794
4.7382 4.7382 4.7382
0.0000 0.0000 3.1588
0.0000 3.1588 0.0000
3.1588 0.0000 0.0000
3.1588 3.1588 3.1588
1.5794 1.5794 1.5794
1.5794 4.7382 4.7382
4.7382 1.5794 4.7382
4.7382 4.7382 1.5794


(6)
Li3Nd2MnNi12, optimized geometry, DFT PBE; energy of formation from the pure elements = 0.1800 eV/atom; magnetization = 4.15 μB per cell; space-group type = R-3m (166); total DFT energy (no corrections) = -5.03 eV per atom
1.0
2.9408 1.6979 8.7130
-2.9408 1.6979 8.7130
0.0000 -3.3958 8.7130
Li Nd Mn Ni
3 2 1 12
Cartesian
-1.4704 -0.8489 8.7130
-1.4704 0.8489 17.4261
0.0000 1.6979 8.7130
0.0000 0.0000 3.8663
0.0000 0.0000 22.2728
0.0000 0.0000 13.0696
0.0000 -2.0516 7.4365
-1.7767 1.0258 7.4365
-1.2636 -0.7295 11.2472
-1.7767 -1.0258 18.7026
0.0000 -1.4591 14.8920
-1.2636 0.7295 14.8920
1.2636 -0.7295 11.2472
0.0000 1.4591 11.2472
1.7767 1.0258 7.4365
1.2636 0.7295 14.8919
1.7767 -1.0258 18.7026
0.0000 2.0516 18.7026


(7)
LiPmNdMn, optimized geometry, DFT PBE; energy of formation from the pure elements = 0.1651 eV/atom; magnetization = 10.65 μB per cell; space-group type = F-43m (216); total DFT energy (no corrections) = -4.99 eV per atom
1.0
7.3443 0.0000 0.0000
0.0000 7.3443 0.0000
0.0000 0.0000 7.3443
Li Pm Nd Mn
4 4 4 4
Cartesian
0.0000 0.0000 0.0000
0.0000 3.6722 3.6722
3.6722 0.0000 3.6722
3.6722 3.6722 0.0000
1.8361 1.8361 1.8361
1.8361 5.5083 5.5083
5.5083 1.8361 5.5083
5.5083 5.5083 1.8361
1.8361 1.8361 5.5083
1.8361 5.5083 1.8361
5.5083 1.8361 1.8361
5.5083 5.5083 5.5083
0.0000 0.0000 3.6722
0.0000 3.6722 0.0000
3.6722 0.0000 0.0000
3.6722 3.6722 3.6722


(8)
LiNd2MnSe5, optimized geometry, DFT PBE; magnetization = 8.00 μB per cell; space-group type = Cmc2_1 (36); total DFT energy (no corrections) = -5.62 eV per atom; E_form (uncorrected) = -1.3971 eV/atom
1.0
2.0572 -8.9616 0.0000
2.0572 8.9616 0.0000
0.0000 0.0000 11.2859
Li Nd Mn Se
2 4 2 10
Cartesian
2.0572 5.0249 5.6429
2.0572 -5.0249 0.0000
2.0572 6.9564 9.0906
2.0572 6.7571 2.0937
2.0572 -6.7571 7.7367
2.0572 -6.9564 3.4476
2.0572 1.7209 11.1044
2.0572 -1.7209 5.4615
2.0572 8.3499 6.3396
2.0572 3.6406 9.4650
2.0572 3.3994 1.7051
2.0572 2.5442 5.6015
2.0572 0.3316 9.0120
2.0572 -0.3316 3.3691
2.0572 -2.5442 11.2445
2.0572 -3.3994 7.3480
2.0572 -3.6406 3.8220
2.0572 -8.3499 0.6966


(9)
LiNdSmMn, optimized geometry, DFT PBE; energy of formation from the pure elements = 0.1623 eV/atom; magnetization = 10.50 μB per cell; space-group type = F-43m (216); total DFT energy (no corrections) = -4.98 eV per atom
1.0
7.3218 0.0000 0.0000
0.0000 7.3218 0.0000
0.0000 0.0000 7.3218
Li Nd Sm Mn
4 4 4 4
Cartesian
0.0000 0.0000 0.0000
0.0000 3.6609 3.6609
3.6609 0.0000 3.6609
3.6609 3.6609 0.0000
1.8305 1.8305 1.8305
1.8305 5.4914 5.4914
5.4914 1.8305 5.4914
5.4914 5.4914 1.8305
1.8305 1.8305 5.4914
1.8305 5.4914 1.8305
5.4914 1.8305 1.8305
5.4914 5.4914 5.4914
0.0000 0.0000 3.6609
0.0000 3.6609 0.0000
3.6609 0.0000 0.0000
3.6609 3.6609 3.6609


(10)
Li2NdMnTe4, optimized geometry, DFT PBE; magnetization = 4.05 μB per cell; space-group type = P2/m (10); total DFT energy (no corrections) = -4.61 eV per atom; E_form (uncorrected) = -0.8192 eV/atom
1.0
7.3234 0.0000 0.0000
0.0000 4.2643 0.0000
-2.3886 0.0000 7.0128
Li Nd Mn Te
2 1 1 4
Cartesian
0.0000 0.0000 0.0000
-1.1943 2.1321 3.5064
2.4674 0.0000 3.5064
3.6617 2.1321 0.0000
1.1873 2.1321 1.6089
0.0478 0.0000 5.5119
4.8870 0.0000 1.5009
3.7475 2.1321 5.4039


(11)
LiNd2MnTe5, optimized geometry, DFT PBE; magnetization = 8.01 μB per cell; space-group type = Cmc2_1 (36); total DFT energy (no corrections) = -5.06 eV per atom; E_form (uncorrected) = -1.0276 eV/atom
1.0
2.1807 -9.5625 0.0000
2.1807 9.5625 0.0000
0.0000 0.0000 12.2448
Li Nd Mn Te
2 4 2 10
Cartesian
2.1807 5.5099 6.1224
2.1807 -5.5099 0.0000
2.1807 7.3903 9.8997
2.1807 7.2213 2.2703
2.1807 -7.2213 8.3927
2.1807 -7.3903 3.7773
2.1807 1.8955 12.0741
2.1807 -1.8955 5.9516
2.1807 8.8803 6.9593
2.1807 3.9193 10.2438
2.1807 3.7001 1.8990
2.1807 2.7771 6.0936
2.1807 0.3439 9.8198
2.1807 -0.3439 3.6974
2.1807 -2.7771 12.2160
2.1807 -3.7001 8.0214
2.1807 -3.9193 4.1214
2.1807 -8.8803 0.8369


(12)
LiNdThMn, optimized geometry, DFT PBE; energy of formation from the pure elements = 0.2101 eV/atom; magnetization = 6.43 μB per cell; space-group type = F-43m (216); total DFT energy (no corrections) = -5.61 eV per atom
1.0
7.2233 0.0000 0.0000
0.0000 7.2233 0.0000
0.0000 0.0000 7.2233
Li Nd Th Mn
4 4 4 4
Cartesian
0.0000 0.0000 0.0000
0.0000 3.6116 3.6116
3.6116 0.0000 3.6116
3.6116 3.6116 0.0000
1.8058 1.8058 1.8058
1.8058 5.4175 5.4175
5.4175 1.8058 5.4175
5.4175 5.4175 1.8058
1.8058 1.8058 5.4175
1.8058 5.4175 1.8058
5.4175 1.8058 1.8058
5.4175 5.4175 5.4175
0.0000 0.0000 3.6116
0.0000 3.6116 0.0000
3.6116 0.0000 0.0000
3.6116 3.6116 3.6116


(13)
LiNdTmMn, optimized geometry, DFT PBE; energy of formation from the pure elements = 0.1407 eV/atom; magnetization = 9.87 μB per cell; space-group type = F-43m (216); total DFT energy (no corrections) = -4.94 eV per atom
1.0
7.1869 0.0000 0.0000
0.0000 7.1869 0.0000
0.0000 0.0000 7.1869
Li Nd Tm Mn
4 4 4 4
Cartesian
0.0000 0.0000 0.0000
0.0000 3.5935 3.5935
3.5935 0.0000 3.5935
3.5935 3.5935 0.0000
1.7967 1.7967 5.3902
1.7967 5.3902 1.7967
5.3902 1.7967 1.7967
5.3902 5.3902 5.3902
1.7967 1.7967 1.7967
1.7967 5.3902 5.3902
5.3902 1.7967 5.3902
5.3902 5.3902 1.7967
0.0000 0.0000 3.5935
0.0000 3.5935 0.0000
3.5935 0.0000 0.0000
3.5935 3.5935 3.5935


(14)
Li3MnNi, optimized geometry, DFT PBE; energy of formation from the pure elements = 1.0847 eV/atom; magnetization = 4.24 μB per cell; space-group type = Pm-3m (221); total DFT energy (no corrections) = -3.05 eV per atom; offset from the most stable computed form = 2.23 kJ per mole of atoms
1.0
4.5915 0.0000 0.0000
0.0000 4.5915 0.0000
0.0000 0.0000 4.5915
Li Mn Ni
3 1 1
Cartesian
0.0000 0.0000 2.2958
0.0000 2.2958 0.0000
2.2958 0.0000 0.0000
0.0000 0.0000 0.0000
2.2958 2.2958 2.2958


(15)
LiMnNi, optimized geometry, DFT PBE; energy of formation from the pure elements = 0.1477 eV/atom; magnetization = 8.14 μB per cell; space-group type = P6_3/mmc (194); total DFT energy (no corrections) = -5.47 eV per atom; offset from the most stable computed form = 2.51 kJ per mole of atoms
1.0
4.2651 0.0000 0.0000
-2.1325 3.6936 0.0000
0.0000 0.0000 4.9570
Li Mn Ni
2 2 2
Cartesian
0.0000 0.0000 0.0000
0.0000 0.0000 2.4785
0.0000 2.4624 1.2393
2.1325 1.2312 3.7178
0.0000 2.4624 3.7178
2.1325 1.2312 1.2393


(16)
LiMnNi6, optimized geometry, DFT PBE; energy of formation from the pure elements = -0.0371 eV/atom; magnetization = 25.57 μB per cell; space-group type = Cmmm (65); total DFT energy (no corrections) = -5.76 eV per atom; offset from the most stable computed form = 0.00 kJ per mole of atoms
1.0
3.5200 -5.0255 0.0000
3.5200 5.0255 0.0000
0.0000 0.0000 10.0552
Li Mn Ni
4 4 24
Cartesian
0.0000 0.0000 2.5068
0.0000 0.0000 7.5484
3.5200 2.4843 0.0000
3.5200 -2.4843 0.0000
3.5200 2.5120 5.0276
3.5200 0.0000 2.4959
3.5200 0.0000 7.5593
3.5200 -2.5120 5.0276
0.0000 0.0000 0.0000
0.0000 0.0000 5.0276
1.7470 1.2590 1.2488
1.7470 1.2590 8.8064
1.7563 1.2543 3.7619
1.7563 1.2543 6.2933
3.5200 2.5078 2.5032
3.5200 2.5078 7.5520
1.7470 -1.2590 1.2488
1.7470 -1.2590 8.8064
1.7563 -1.2543 3.7619
1.7563 -1.2543 6.2933
3.5200 0.0000 0.0000
3.5200 0.0000 5.0276
5.2837 1.2543 3.7619
5.2837 1.2543 6.2933
5.2931 1.2590 1.2488
5.2931 1.2590 8.8064
3.5200 -2.5078 2.5032
3.5200 -2.5078 7.5520
5.2837 -1.2543 3.7619
5.2837 -1.2543 6.2933
5.2931 -1.2590 1.2488
5.2931 -1.2590 8.8064


(17)
LiMnNi, optimized geometry, DFT PBE; energy of formation from the pure elements = 0.8819 eV/atom; magnetization = 0.00 μB per cell; space-group type = F-43m (216); total DFT energy (no corrections) = -4.74 eV per atom; offset from the most stable computed form = 73.35 kJ per mole of atoms
1.0
5.3713 0.0000 0.0000
0.0000 5.3713 0.0000
0.0000 0.0000 5.3713
Li Mn Ni
4 4 4
Cartesian
0.0000 0.0000 0.0000
0.0000 2.6857 2.6857
2.6857 0.0000 2.6857
2.6857 2.6857 0.0000
1.3428 1.3428 1.3428
1.3428 4.0285 4.0285
4.0285 1.3428 4.0285
4.0285 4.0285 1.3428
0.0000 0.0000 2.6857
0.0000 2.6857 0.0000
2.6857 0.0000 0.0000
2.6857 2.6857 2.6857


(18)
LiMn2Ni2, optimized geometry, DFT PBE; energy of formation from the pure elements = 0.1849 eV/atom; magnetization = 0.00 μB per cell; space-group type = P4/mbm (127); total DFT energy (no corrections) = -6.18 eV per atom; offset from the most stable computed form = 10.87 kJ per mole of atoms
1.0
7.0644 0.0000 0.0000
0.0000 7.0644 0.0000
0.0000 0.0000 2.4147
Li Mn Ni
2 4 4
Cartesian
0.0000 0.0000 0.0000
3.5322 3.5322 0.0000
0.7431 2.7892 0.0000
2.7892 6.3214 0.0000
4.2753 0.7431 0.0000
6.3214 4.2753 0.0000
1.3216 4.8538 1.2073
2.2107 1.3216 1.2073
4.8538 5.7429 1.2073
5.7429 2.2107 1.2073


(19)
Li2MnNi, optimized geometry, DFT PBE; energy of formation from the pure elements = 0.1483 eV/atom; magnetization = 7.13 μB per cell; space-group type = C2/m (12); total DFT energy (no corrections) = -4.55 eV per atom; offset from the most stable computed form = 3.42 kJ per mole of atoms
1.0
4.9624 0.0000 0.0000
0.0000 9.0390 0.0000
-1.2431 0.0000 2.3106
Li Mn Ni
4 2 2
Cartesian
1.2406 2.2598 0.0000
1.2406 6.7793 0.0000
3.7218 2.2598 0.0000
3.7218 6.7793 0.0000
-0.6215 0.0000 1.1553
1.8596 4.5195 1.1553
-0.6215 4.5195 1.1553
1.8596 0.0000 1.1553


(20)
LiMnNi, optimized geometry, DFT PBE; energy of formation from the pure elements = 0.1561 eV/atom; magnetization = 0.00 μB per cell; space-group type = P-1 (2); total DFT energy (no corrections) = -5.47 eV per atom; offset from the most stable computed form = 3.32 kJ per mole of atoms
1.0
2.4354 0.0000 0.0000
0.8739 4.4068 0.0000
0.8703 0.9649 6.2875
Li Mn Ni
2 2 2
Cartesian
0.9678 2.2842 1.0793
3.2118 3.0875 5.2083
0.8370 0.8105 4.0950
3.3426 4.5611 2.1926
1.2177 0.0000 0.0000
2.0898 2.6858 3.1438